# 1
Entry from Alexandria: crystalline ErTiZnTc at its relaxed geometry (GGA-PBE).

Final energy: -6.18 eV/atom
Formation energy from the elements: -0.156 eV per atom
DOS at the Fermi energy: 4.33 states/eV per cell

Cell lengths 4.656, 4.656, 4.656 Å; angles 60.00, 60.00, 60.00 degrees
Sites, in units of the cell vectors:
Zn 0.000 0.000 0.000
Ti 0.250 0.250 0.250
Tc 0.500 0.500 0.500
Er 0.750 0.750 0.750


# 2
Entry from Alexandria: crystalline Er8TlTc2 at its relaxed geometry (GGA-PBE).

Final energy: -5.53 eV/atom
Formation energy from the elements: -0.112 eV per atom
DOS at the Fermi energy: 6.74 states/eV per cell

Cell lengths 5.290, 6.896, 8.947 Å; angles 112.63, 107.20, 90.02 degrees
Sites, in units of the cell vectors:
Er 0.636 0.269 0.909
Er 0.967 0.014 0.569
Er 0.306 0.354 0.249
Er 0.747 0.933 0.130
Er 0.346 0.859 0.328
Er 0.927 0.440 0.490
Er 0.137 0.539 0.910
Er 0.526 0.712 0.688
Tl 0.137 0.973 0.909
Tc 0.800 0.618 0.237
Tc 0.471 0.289 0.580


Look up the DOS at the Fermi energy of the first one. 4.33 states/eV per cell


final energy of number 2 (Er8TlTc2)? -5.53 eV/atom


The highest final energy belongs to which entry? Er8TlTc2


Repeat the first record exactly.
Entry from Alexandria: crystalline ErTiZnTc at its relaxed geometry (GGA-PBE).

Final energy: -6.18 eV/atom
Formation energy from the elements: -0.156 eV per atom
DOS at the Fermi energy: 4.33 states/eV per cell

Cell lengths 4.656, 4.656, 4.656 Å; angles 60.00, 60.00, 60.00 degrees
Sites, in units of the cell vectors:
Zn 0.000 0.000 0.000
Ti 0.250 0.250 0.250
Tc 0.500 0.500 0.500
Er 0.750 0.750 0.750